No. 1
A relaxed structure of Ca2ErF8, computed with PBE.

As for the energy above the most stable polymorph in this dataset: 0.000 eV/atom. The formation energy without anion corrections is -345.5 kJ/mol of atoms.

The space group is C2/m (No. 12) and the conventional cell measures 13.850, 3.871 and 5.535 Å, with angles of 90.00, 109.82 and 90.00 degrees. Symmetry generates all atoms from Ca at (0.176, 0.000, 0.192), Er at (0.000, 0.500, 0.500), F at (0.027, 0.000, 0.308), F at (0.094, 0.500, 0.926), F at (0.160, 0.500, 0.472) and F at (0.223, 0.000, 0.827).



No. 2
A relaxed structure of BePb8, computed with PBE.

For the formation energy, the calculation gives 0.231 eV/atom.

The space group is I4/mmm (No. 139) and the conventional cell measures 10.677, 10.677 and 4.698 Å, with angles of 90.00, 90.00 and 90.00 degrees. Symmetry generates all atoms from Be at (0.000, 0.000, 0.000), Pb at (0.000, 0.326, 0.000) and Pb at (0.156, 0.156, 0.500).